4
Lattice="2.5471 0.0000 0.0000 0.0000 4.3824 0.0000 -0.2159 0.0000 4.2876" Properties=species:S:1:pos:R:3 comment="FeCu2Si PBE relaxed" raw_formation_energy_ev_per_atom=0.01 e_tot_ev_per_atom=-5.51 total_magnetization_mub_per_fu=1.9 pbc="T T T"
Fe 0.0000 0.0000 0.0000
Cu 0.5506 2.1912 3.2180
Cu 1.7807 2.1912 1.0696
Si 1.1656 0.0000 2.1438